{"formula": "LaP2OsO", "functional": "PBEsol", "state": "optimized geometry", "formation_energy_uncorrected_kj_per_mol_fu": 565, "volume_a3_per_atom": 22.26, "lattice": [[5.296, 0.000, 0.000], [0.000, 5.296, 0.000], [0.000, 0.000, 3.968]], "species": ["La", "P", "P", "Os", "O"], "fractional_positions": [[0.000, 0.000, 0.000], [0.000, 0.500, 0.000], [0.500, 0.000, 0.000], [0.500, 0.500, 0.500], [0.000, 0.000, 0.500]]}


{"formula": "LaP3O9", "functional": "PBEsol", "state": "optimized geometry", "formation_energy_uncorrected_kj_per_mol_fu": -3190, "volume_a3_per_atom": 13.90, "lattice": [[4.317, -5.651, 0.000], [4.317, 5.651, 0.000], [0.000, 0.000, 7.407]], "species": ["La", "La", "P", "P", "P", "P", "P", "P", "O", "O", "O", "O", "O", "O", "O", "O", "O", "O", "O", "O", "O", "O", "O", "O", "O", "O"], "fractional_positions": [[0.125, 0.125, 0.000], [0.875, 0.875, 0.500], [0.252, 0.252, 0.500], [0.317, 0.666, 0.952], [0.334, 0.683, 0.548], [0.666, 0.317, 0.048], [0.683, 0.334, 0.452], [0.748, 0.748, 0.000], [0.135, 0.173, 0.667], [0.173, 0.135, 0.333], [0.174, 0.782, 0.541], [0.218, 0.826, 0.959], [0.220, 0.474, 0.036], [0.252, 0.470, 0.459], [0.376, 0.624, 0.750], [0.470, 0.252, 0.541], [0.474, 0.220, 0.964], [0.526, 0.780, 0.464], [0.530, 0.748, 0.041], [0.624, 0.376, 0.250], [0.748, 0.530, 0.959], [0.780, 0.526, 0.536], [0.782, 0.174, 0.459], [0.826, 0.218, 0.041], [0.827, 0.865, 0.833], [0.865, 0.827, 0.167]]}


{"formula": "La3PO", "functional": "PBEsol", "state": "optimized geometry", "formation_energy_uncorrected_kj_per_mol_fu": -94, "volume_a3_per_atom": 32.07, "lattice": [[5.433, 0.000, 0.000], [0.000, 5.433, 0.000], [0.000, 0.000, 5.433]], "species": ["La", "La", "La", "P", "O"], "fractional_positions": [[0.000, 0.000, 0.500], [0.000, 0.500, 0.000], [0.500, 0.000, 0.000], [0.000, 0.000, 0.000], [0.500, 0.500, 0.500]]}


{"formula": "LaPO2", "functional": "PBEsol", "state": "optimized geometry", "formation_energy_uncorrected_kj_per_mol_fu": -332, "volume_a3_per_atom": 16.09, "lattice": [[1.716, 0.991, 6.313], [-1.716, 0.991, 6.313], [0.000, -1.981, 6.313]], "species": ["La", "P", "O", "O"], "fractional_positions": [[0.000, 0.000, 0.000], [0.500, 0.500, 0.500], [0.119, 0.119, 0.119], [0.881, 0.881, 0.881]]}


{"formula": "LaPRuO2", "functional": "PBEsol", "state": "optimized geometry", "formation_energy_uncorrected_kj_per_mol_fu": -25, "volume_a3_per_atom": 20.93, "lattice": [[4.052, 0.000, 0.000], [0.000, 4.052, 0.000], [0.000, 0.000, 6.374]], "species": ["La", "P", "Ru", "O", "O"], "fractional_positions": [[0.000, 0.000, 0.000], [0.000, 0.000, 0.500], [0.500, 0.500, 0.500], [0.000, 0.500, 0.000], [0.500, 0.000, 0.000]]}


{"formula": "LaScP2O", "functional": "PBEsol", "state": "optimized geometry", "formation_energy_uncorrected_kj_per_mol_fu": -182, "volume_a3_per_atom": 23.26, "lattice": [[5.306, 0.000, 0.000], [0.000, 5.306, 0.000], [0.000, 0.000, 4.130]], "species": ["La", "Sc", "P", "P", "O"], "fractional_positions": [[0.000, 0.000, 0.000], [0.500, 0.500, 0.500], [0.000, 0.500, 0.000], [0.500, 0.000, 0.000], [0.000, 0.000, 0.500]]}